Material: LiV2O3F
Method: DFT, PBE with a Hubbard U
State: optimized geometry

As for the offset from the most stable computed form: 13.4 meV per atom. The value obtained for the total moment is 4.00 μB per formula unit.

The space group is Pnma (No. 62) and the conventional cell measures 5.971, 6.141 and 8.698 Å, with angles of 90.00, 90.00 and 90.00 degrees. The inequivalent atoms are Li at (0.026, 0.250, 0.141), V at (0.000, 0.000, 0.500), V at (0.244, 0.750, 0.260), O at (0.008, 0.029, 0.731), O at (0.216, 0.750, 0.496) and F at (0.248, 0.250, 0.503).